# 1
This record from Alexandria via LeMat-Bulk describes a relaxed LaIn2GaBr crystal. The functional is PBE-GGA.

a b c (Å): 5.6224 5.6224 5.3033
angles (deg): 90.00 90.00 90.00
Space group P4/mmm (No. 123)
Symmetry-distinct sites (fractional):
La (0.0000, 0.0000, 0.0000)
In (0.0000, 0.5000, 0.5000)
Ga (0.5000, 0.5000, 0.0000)
Br (0.5000, 0.5000, 0.5000)

Computed properties:
**Volume**: 167.6 Å³/cell
**E_tot**: -2.888 eV per atom
**ΔE_f (raw)**: 0.133 eV per atom



# 2
This record from Alexandria via LeMat-Bulk describes a relaxed BeOs2PtO crystal. The functional is PBE-GGA.

a b c (Å): 4.1550 4.1550 4.0460
angles (deg): 90.00 90.00 90.00
Space group P4/mmm (No. 123)
Symmetry-distinct sites (fractional):
Be (0.0000, 0.0000, 0.0000)
Os (0.0000, 0.5000, 0.0000)
Pt (0.0000, 0.0000, 0.5000)
O (0.5000, 0.5000, 0.5000)

Computed properties:
**Volume**: 69.9 Å³/cell
**E_tot**: -5.951 eV per atom
**ΔE_f (raw)**: 1.486 eV per atom



# 3
This record from Alexandria via LeMat-Bulk describes a relaxed Be3TlTc crystal. The functional is PBE-GGA.

a b c (Å): 4.3241 4.3241 4.3241
angles (deg): 90.00 90.00 90.00
Space group Pm-3m (No. 221)
Symmetry-distinct sites (fractional):
Be (0.0000, 0.0000, 0.5000)
Tl (0.5000, 0.5000, 0.5000)
Tc (0.0000, 0.0000, 0.0000)

Computed properties:
**Relative energy among the computed polymorphs**: 0 meV/atom
**Volume**: 80.9 Å³/cell
**Formation energy**: 0.883 eV per atom
**E_tot**: -3.900 eV per atom



# 4
This record from Alexandria via LeMat-Bulk describes a relaxed AcGa4Pt6 crystal. The functional is PBE-GGA.

a b c (Å): 7.3961 7.3961 4.0575
angles (deg): 90.00 90.00 120.00
Space group P-6m2 (No. 187)
Symmetry-distinct sites (fractional):
Ac (0.0000, 0.0000, 0.0000)
Ga (0.2017, 0.4033, 0.5000)
Ga (0.6667, 0.3333, 0.0000)
Pt (0.0666, 0.5333, 0.0000)
Pt (0.3979, 0.1989, 0.5000)

Computed properties:
**Volume**: 192.2 Å³/cell
**Formation energy**: -0.797 eV per atom
**E_tot**: -5.566 eV per atom



# 5
This record from Alexandria via LeMat-Bulk describes a relaxed Mg2Sb3O8 crystal. The functional is PBE-GGA.

a b c (Å): 10.3682 6.3014 5.6458
angles (deg): 90.00 104.09 90.00
Space group C2/m (No. 12)
Symmetry-distinct sites (fractional):
Mg (0.2068, 0.0000, 0.0881)
Sb (0.0000, 0.2416, 0.5000)
Sb (0.0000, 0.5000, 0.0000)
O (0.0976, 0.0000, 0.3624)
O (0.1048, 0.5000, 0.4034)
O (0.1324, 0.2612, 0.8461)

Computed properties:
**Relative energy among the computed polymorphs**: 0 meV/atom
**Volume**: 357.8 Å³/cell
**E_tot**: -5.822 eV per atom
**ΔE_f (raw)**: -1.574 eV per atom



# 6
This record from Alexandria via LeMat-Bulk describes a relaxed GaTeH crystal. The functional is PBE-GGA.

a b c (Å): 4.1424 5.4205 6.7932
angles (deg): 72.10 89.87 89.99
Space group P-1 (No. 2)
Symmetry-distinct sites (fractional):
Ga (0.2494, 0.1812, 0.1112)
Te (0.2511, 0.1319, 0.7257)
H (0.2493, 0.4592, 0.1364)

Computed properties:
**Relative energy among the computed polymorphs**: 125 meV/atom
**Volume**: 145.2 Å³/cell
**E_tot**: -3.302 eV per atom